Material: ErGa2Pd
Method: DFT, GGA-PBEsol
State: relaxed

POSCAR file:
```
ErGa2Pd
1.0
2.174 -4.971 0.000
2.174 4.971 0.000
0.000 0.000 6.476
Er Ga Pd
2 4 2
Direct
0.088 0.912 0.750
0.912 0.088 0.250
0.373 0.627 0.553
0.373 0.627 0.947
0.627 0.373 0.053
0.627 0.373 0.447
0.201 0.799 0.250
0.799 0.201 0.750
```

Total DFT energy (no corrections): -5.2403 eV/atom
Crystal system: orthorhombic
M_tot: 0.00 μB/f.u.
Energy relative to the elements: -0.8490 eV per atom


Material: Er4Ga12Pd
Method: DFT, GGA-PBEsol
State: relaxed

POSCAR file:
```
Er4Ga12Pd
1.0
-4.224 4.224 4.224
4.224 -4.224 4.224
4.224 4.224 -4.224
Er Ga Pd
4 12 1
Direct
0.000 0.000 0.500
0.000 0.500 0.000
0.500 0.000 0.000
0.500 0.500 0.500
0.000 0.297 0.297
0.000 0.703 0.703
0.250 0.500 0.750
0.250 0.750 0.500
0.297 0.000 0.297
0.297 0.297 0.000
0.500 0.250 0.750
0.500 0.750 0.250
0.703 0.000 0.703
0.703 0.703 0.000
0.750 0.250 0.500
0.750 0.500 0.250
0.000 0.000 0.000
```

Total DFT energy (no corrections): -4.5160 eV/atom
Crystal system: cubic
M_tot: 0.00 μB/f.u.
Energy relative to the elements: -0.6487 eV per atom


Material: ErGaPd
Method: DFT, GGA-PBEsol
State: relaxed

POSCAR file:
```
ErGaPd
1.0
6.762 0.000 0.000
0.000 4.386 0.000
0.000 0.000 7.498
Er Ga Pd
4 4 4
Direct
0.016 0.250 0.198
0.484 0.750 0.698
0.516 0.250 0.302
0.984 0.750 0.802
0.176 0.250 0.576
0.324 0.750 0.076
0.676 0.250 0.924
0.824 0.750 0.424
0.220 0.750 0.404
0.280 0.250 0.904
0.720 0.750 0.096
0.780 0.250 0.596
```

Total DFT energy (no corrections): -5.6732 eV/atom
Crystal system: orthorhombic
M_tot: 0.00 μB/f.u.
Energy relative to the elements: -0.9313 eV per atom


Material: ErGaPt
Method: DFT, GGA-PBEsol
State: relaxed

POSCAR file:
```
ErGaPt
1.0
6.737 0.000 0.000
0.000 4.362 0.000
0.000 0.000 7.560
Er Ga Pt
4 4 4
Direct
0.015 0.250 0.198
0.485 0.750 0.698
0.515 0.250 0.302
0.985 0.750 0.802
0.172 0.250 0.575
0.328 0.750 0.075
0.672 0.250 0.925
0.828 0.750 0.425
0.226 0.750 0.401
0.274 0.250 0.901
0.726 0.750 0.099
0.774 0.250 0.599
```

Total DFT energy (no corrections): -6.2143 eV/atom
Crystal system: orthorhombic
M_tot: 0.00 μB/f.u.
Energy relative to the elements: -1.1375 eV per atom


Material: Er4Ga12Pt
Method: DFT, GGA-PBEsol
State: relaxed

POSCAR file:
```
Er4Ga12Pt
1.0
-4.223 4.223 4.223
4.223 -4.223 4.223
4.223 4.223 -4.223
Er Ga Pt
4 12 1
Direct
0.000 0.000 0.500
0.000 0.500 0.000
0.500 0.000 0.000
0.500 0.500 0.500
0.000 0.298 0.298
0.000 0.702 0.702
0.250 0.500 0.750
0.250 0.750 0.500
0.298 0.000 0.298
0.298 0.298 0.000
0.500 0.250 0.750
0.500 0.750 0.250
0.702 0.000 0.702
0.702 0.702 0.000
0.750 0.250 0.500
0.750 0.500 0.250
0.000 0.000 0.000
```

Total DFT energy (no corrections): -4.5930 eV/atom
Crystal system: cubic
M_tot: 0.00 μB/f.u.
Energy relative to the elements: -0.6665 eV per atom


Material: Er3Ga9Pt2
Method: DFT, GGA-PBEsol
State: relaxed

POSCAR file:
```
Er3Ga9Pt2
1.0
-2.063 4.932 6.044
2.063 -4.932 6.044
2.063 4.932 -6.044
Er Ga Pt
3 9 2
Direct
0.000 0.000 0.000
0.323 0.323 0.000
0.677 0.677 0.000
0.044 0.668 0.376
0.149 0.869 0.280
0.292 0.668 0.624
0.411 0.131 0.280
0.500 0.000 0.500
0.589 0.869 0.720
0.708 0.332 0.376
0.851 0.131 0.720
0.956 0.332 0.624
0.276 0.500 0.776
0.724 0.500 0.224
```

Total DFT energy (no corrections): -4.9202 eV/atom
Crystal system: orthorhombic
M_tot: 0.00 μB/f.u.
Energy relative to the elements: -0.7226 eV per atom


Material: ErGaRh
Method: DFT, GGA-PBEsol
State: relaxed

POSCAR file:
```
ErGaRh
1.0
6.907 0.000 0.000
0.000 4.414 0.000
0.000 0.000 7.084
Er Ga Rh
4 4 4
Direct
0.015 0.250 0.194
0.485 0.750 0.694
0.515 0.250 0.306
0.985 0.750 0.806
0.202 0.250 0.605
0.298 0.750 0.105
0.702 0.250 0.895
0.798 0.750 0.395
0.161 0.750 0.436
0.339 0.250 0.936
0.661 0.750 0.064
0.839 0.250 0.564
```

Total DFT energy (no corrections): -6.3725 eV/atom
Crystal system: orthorhombic
M_tot: 0.00 μB/f.u.
Energy relative to the elements: -0.9041 eV per atom


Material: Er2Ga9Rh3
Method: DFT, GGA-PBEsol
State: relaxed

POSCAR file:
```
Er2Ga9Rh3
1.0
6.414 -3.723 0.000
6.414 3.723 0.000
0.000 0.000 9.348
Er Ga Rh
4 18 6
Direct
0.002 0.670 0.750
0.330 0.998 0.750
0.670 0.002 0.250
0.998 0.330 0.250
0.001 0.665 0.080
0.001 0.665 0.420
0.127 0.873 0.250
0.333 0.667 0.567
0.333 0.667 0.933
0.335 0.999 0.080
0.335 0.999 0.420
0.339 0.452 0.250
0.452 0.339 0.750
0.548 0.661 0.250
0.661 0.548 0.750
0.665 0.001 0.580
0.665 0.001 0.920
0.667 0.333 0.067
0.667 0.333 0.433
0.873 0.127 0.750
0.999 0.335 0.580
0.999 0.335 0.920
0.000 0.000 0.000
0.000 0.000 0.500
0.328 0.328 0.000
0.328 0.328 0.500
0.672 0.672 0.000
0.672 0.672 0.500
```

Total DFT energy (no corrections): -5.3448 eV/atom
Crystal system: orthorhombic
M_tot: 0.00 μB/f.u.
Energy relative to the elements: -0.7500 eV per atom


Material: ErGa3Ru
Method: DFT, GGA-PBEsol
State: relaxed

POSCAR file:
```
ErGa3Ru
1.0
6.301 0.000 0.000
0.000 6.301 0.000
0.000 0.000 6.301
Er Ga Ru
3 9 3
Direct
0.000 0.000 0.500
0.000 0.500 0.000
0.500 0.000 0.000
0.000 0.000 0.000
0.288 0.288 0.288
0.288 0.288 0.712
0.288 0.712 0.288
0.288 0.712 0.712
0.712 0.288 0.288
0.712 0.288 0.712
0.712 0.712 0.288
0.712 0.712 0.712
0.000 0.500 0.500
0.500 0.000 0.500
0.500 0.500 0.000
```

Total DFT energy (no corrections): -5.6398 eV/atom
Crystal system: cubic
M_tot: 0.00 μB/f.u.
Energy relative to the elements: -0.6161 eV per atom


Material: Er3GaS6
Method: DFT, GGA-PBEsol
State: relaxed

POSCAR file:
```
Er3GaS6
1.0
5.226 -6.494 0.000
5.226 6.494 0.000
0.000 0.000 6.332
Er Ga S
6 2 12
Direct
0.097 0.903 0.500
0.218 0.414 0.405
0.414 0.218 0.905
0.586 0.782 0.405
0.782 0.586 0.905
0.903 0.097 0.000
0.298 0.702 0.871
0.702 0.298 0.371
0.064 0.599 0.687
0.130 0.195 0.704
0.195 0.130 0.204
0.281 0.719 0.226
0.401 0.936 0.687
0.461 0.539 0.722
0.539 0.461 0.222
0.599 0.064 0.187
0.719 0.281 0.726
0.805 0.870 0.704
0.870 0.805 0.204
0.936 0.401 0.187
```

Total DFT energy (no corrections): -6.2107 eV/atom
Crystal system: orthorhombic
Formation energy without anion corrections: -1.7681 eV per atom
M_tot: 0.00 μB/f.u.


Material: ErV2Ga4
Method: DFT, GGA-PBEsol
State: relaxed

POSCAR file:
```
ErV2Ga4
1.0
-3.253 3.253 2.575
3.253 -3.253 2.575
3.253 3.253 -2.575
Er V Ga
1 2 4
Direct
0.000 0.000 0.000
0.250 0.750 0.500
0.750 0.250 0.500
0.303 0.303 0.606
0.303 0.697 0.000
0.697 0.303 0.000
0.697 0.697 0.394
```

Total DFT energy (no corrections): -5.8279 eV/atom
Crystal system: tetragonal
M_tot: 0.00 μB/f.u.
Energy relative to the elements: -0.4629 eV per atom


Material: ErZnGa
Method: DFT, GGA-PBEsol
State: relaxed

POSCAR file:
```
ErZnGa
1.0
4.314 0.000 0.000
-2.157 3.736 0.000
0.000 0.000 7.012
Er Zn Ga
2 2 2
Direct
0.000 0.000 0.000
0.000 0.000 0.500
0.333 0.667 0.250
0.667 0.333 0.750
0.333 0.667 0.750
0.667 0.333 0.250
```

Total DFT energy (no corrections): -3.8722 eV/atom
Crystal system: hexagonal
M_tot: 0.00 μB/f.u.
Energy relative to the elements: -0.5893 eV per atom


Material: Er2ZnGa
Method: DFT, GGA-PBEsol
State: relaxed

POSCAR file:
```
Er2ZnGa
1.0
0.000 3.473 3.473
3.473 0.000 3.473
3.473 3.473 0.000
Er Zn Ga
2 1 1
Direct
0.250 0.250 0.250
0.750 0.750 0.750
0.000 0.000 0.000
0.500 0.500 0.500
```

Total DFT energy (no corrections): -4.2020 eV/atom
Crystal system: cubic
M_tot: 0.00 μB/f.u.
Energy relative to the elements: -0.5080 eV per atom


Material: GdErZn2
Method: DFT, GGA-PBEsol
State: relaxed

POSCAR file:
```
GdErZn2
1.0
0.000 3.503 3.503
3.503 0.000 3.503
3.503 3.503 0.000
Gd Er Zn
1 1 2
Direct
0.000 0.000 0.000
0.500 0.500 0.500
0.250 0.250 0.250
0.750 0.750 0.750
```

Total DFT energy (no corrections): -5.9791 eV/atom
Crystal system: cubic
M_tot: 7.75 μB/f.u.
Energy relative to the elements: -0.3441 eV per atom


Material: Er5Ge4
Method: DFT, GGA-PBEsol
State: relaxed

POSCAR file:
```
Er5Ge4
1.0
7.461 0.000 0.000
0.000 14.337 0.000
0.000 0.000 7.545
Er Ge
20 16
Direct
0.024 0.100 0.178
0.024 0.400 0.178
0.125 0.618 0.338
0.125 0.882 0.338
0.210 0.250 0.501
0.290 0.750 0.001
0.375 0.118 0.838
0.375 0.382 0.838
0.476 0.600 0.678
0.476 0.900 0.678
0.524 0.100 0.322
0.524 0.400 0.322
0.625 0.618 0.162
0.625 0.882 0.162
0.710 0.250 0.999
0.790 0.750 0.499
0.875 0.118 0.662
0.875 0.382 0.662
0.976 0.600 0.822
0.976 0.900 0.822
0.077 0.250 0.883
0.170 0.750 0.639
0.215 0.043 0.535
0.215 0.457 0.535
0.285 0.543 0.035
0.285 0.957 0.035
0.330 0.250 0.139
0.423 0.750 0.383
0.577 0.250 0.617
0.670 0.750 0.861
0.715 0.043 0.965
0.715 0.457 0.965
0.785 0.543 0.465
0.785 0.957 0.465
0.830 0.250 0.361
0.923 0.750 0.117
```

Total DFT energy (no corrections): -5.8344 eV/atom
Crystal system: orthorhombic
M_tot: 0.00 μB/f.u.
Energy relative to the elements: -0.9020 eV per atom


Material: Er4InNi2Ge4
Method: DFT, GGA-PBEsol
State: relaxed

POSCAR file:
```
Er4InNi2Ge4
1.0
7.579 -2.078 0.000
7.579 2.078 0.000
-2.209 0.000 6.528
Er In Ni Ge
4 1 2 4
Direct
0.092 0.092 0.392
0.156 0.156 0.939
0.844 0.844 0.061
0.908 0.908 0.608
0.500 0.500 0.000
0.283 0.283 0.356
0.717 0.717 0.644
0.297 0.297 0.729
0.435 0.435 0.336
0.565 0.565 0.664
0.703 0.703 0.271
```

Total DFT energy (no corrections): -5.8207 eV/atom
Crystal system: monoclinic
M_tot: 0.00 μB/f.u.
Energy relative to the elements: -0.8423 eV per atom


Material: Er5Ge10Ir4
Method: DFT, GGA-PBEsol
State: relaxed

POSCAR file:
```
Er5Ge10Ir4
1.0
12.825 0.000 0.000
0.000 12.825 0.000
0.000 0.000 4.258
Er Ge Ir
10 20 8
Direct
0.000 0.000 0.000
0.116 0.384 0.500
0.173 0.673 0.500
0.327 0.173 0.500
0.384 0.884 0.500
0.500 0.500 0.000
0.616 0.116 0.500
0.673 0.827 0.500
0.827 0.327 0.500
0.884 0.616 0.500
0.004 0.845 0.500
0.067 0.567 0.000
0.155 0.004 0.500
0.165 0.199 0.000
0.199 0.835 0.000
0.301 0.335 0.000
0.335 0.699 0.000
0.345 0.504 0.500
0.433 0.067 0.000
0.496 0.345 0.500
0.504 0.655 0.500
0.567 0.933 0.000
0.655 0.496 0.500
0.665 0.301 0.000
0.699 0.665 0.000
0.801 0.165 0.000
0.835 0.801 0.000
0.845 0.996 0.500
0.933 0.433 0.000
0.996 0.155 0.500
0.019 0.753 0.000
0.247 0.019 0.000
0.253 0.519 0.000
0.481 0.253 0.000
0.519 0.747 0.000
0.747 0.481 0.000
0.753 0.981 0.000
0.981 0.247 0.000
```

Total DFT energy (no corrections): -6.7807 eV/atom
Crystal system: tetragonal
M_tot: 0.00 μB/f.u.
Energy relative to the elements: -0.8165 eV per atom


Material: ErGe2Ir
Method: DFT, GGA-PBEsol
State: relaxed

POSCAR file:
```
ErGe2Ir
1.0
-2.101 4.389 7.940
2.101 -4.389 7.940
2.101 4.389 -7.940
Er Ge Ir
4 8 4
Direct
0.205 0.205 0.000
0.238 0.000 0.238
0.762 0.000 0.762
0.795 0.795 0.000
0.077 0.577 0.500
0.147 0.799 0.348
0.422 0.422 0.000
0.451 0.799 0.652
0.549 0.201 0.348
0.578 0.578 0.000
0.853 0.201 0.652
0.923 0.423 0.500
0.105 0.355 0.750
0.395 0.645 0.750
0.605 0.355 0.250
0.895 0.645 0.250
```

Total DFT energy (no corrections): -6.9913 eV/atom
Crystal system: orthorhombic
M_tot: 0.00 μB/f.u.
Energy relative to the elements: -0.8342 eV per atom